Compound: Er2InOs
Source: Alexandria
Functional: PBE
Structure: optimized geometry

abc: 4.996 4.996 4.996
angles: 60.00 60.00 60.00
Atoms (fractional coordinates):
In 0.000 0.000 0.000
Er 0.750 0.750 0.750
Er 0.250 0.250 0.250
Os 0.500 0.500 0.500

Energy above the lowest structure with this stoichiometry in eV/f.u.: 0.53